Entry 1:
# CuP2PbO7 | Alexandria via LeMat-Bulk | PBEsol | relaxed
# size of the total moment = 0.967 μB/f.u.
# formation energy from raw total energies = -1.8002 eV/atom
data_CuP2PbO7
_cell_length_a 5.4240
_cell_length_b 8.1611
_cell_length_c 13.5829
_cell_angle_alpha 90.00
_cell_angle_beta 112.80
_cell_angle_gamma 90.00
_space_group_name_H-M_alt 'P 1 21/c 1'
_space_group_IT_number 14
loop_
_space_group_symop_operation_xyz
'x,y,z'
'-x,-y,-z'
'-x,y+1/2,-z+1/2'
'x,-y+1/2,z+1/2'
loop_
_atom_site_label
_atom_site_fract_x
_atom_site_fract_y
_atom_site_fract_z
Cu1 0.1754 0.1417 0.3863
P1 0.0947 0.5346 0.3398
P2 0.1670 0.6946 0.9885
Pb1 0.4890 0.6689 0.7783
O1 0.0193 0.1436 0.8488
O2 0.1209 0.1617 0.5192
O3 0.1608 0.1222 0.2368
O4 0.1726 0.6146 0.4556
O5 0.2202 0.5959 0.9015
O6 0.3314 0.5557 0.3073
O7 0.3861 0.6799 0.0989

Entry 2:
# CuP2PtO | Alexandria via LeMat-Bulk | PBEsol | relaxed
# size of the total moment = 0.000 μB/f.u.
# formation energy from raw total energies = 0.6846 eV/atom
data_CuP2PtO
_cell_length_a 4.7783
_cell_length_b 4.7783
_cell_length_c 3.6562
_cell_angle_alpha 90.00
_cell_angle_beta 90.00
_cell_angle_gamma 90.00
_space_group_name_H-M_alt 'P 4/m m m'
_space_group_IT_number 123
_space_group_name_Hall '-P 4 2'
loop_
_atom_site_label
_atom_site_fract_x
_atom_site_fract_y
_atom_site_fract_z
Cu1 0.0000 0.0000 0.0000
P1 0.0000 0.5000 0.5000
Pt1 0.5000 0.5000 0.5000
O1 0.5000 0.5000 0.0000

Entry 3:
# RbCuPO2 | Alexandria via LeMat-Bulk | PBEsol | relaxed
# size of the total moment = 1.772 μB/f.u.
# formation energy from raw total energies = 1.5412 eV/atom
data_RbCuPO2
_cell_length_a 4.0438
_cell_length_b 4.0438
_cell_length_c 6.6125
_cell_angle_alpha 90.00
_cell_angle_beta 90.00
_cell_angle_gamma 90.00
_space_group_name_H-M_alt 'P 4/m m m'
_space_group_IT_number 123
_space_group_name_Hall '-P 4 2'
loop_
_atom_site_label
_atom_site_fract_x
_atom_site_fract_y
_atom_site_fract_z
Rb1 0.0000 0.0000 0.0000
Cu1 0.5000 0.5000 0.5000
P1 0.0000 0.0000 0.5000
O1 0.0000 0.5000 0.0000

Entry 4:
# Rb2V2CuP2O12 | Alexandria via LeMat-Bulk | PBEsol | relaxed
# size of the total moment = 1.000 μB/f.u.
# formation energy from raw total energies = -2.1181 eV/atom
data_Rb2V2CuP2O12
_cell_length_a 4.9609
_cell_length_b 11.3645
_cell_length_c 9.5687
_cell_angle_alpha 90.00
_cell_angle_beta 94.78
_cell_angle_gamma 90.00
_space_group_name_H-M_alt 'P 1 21/c 1'
_space_group_IT_number 14
loop_
_space_group_symop_operation_xyz
'x,y,z'
'-x,-y,-z'
'-x,y+1/2,-z+1/2'
'x,-y+1/2,z+1/2'
loop_
_atom_site_label
_atom_site_fract_x
_atom_site_fract_y
_atom_site_fract_z
Rb1 0.0776 0.1308 0.3904
V1 0.4448 0.6103 0.7524
Cu1 0.0000 0.0000 0.0000
P1 0.4851 0.6405 0.4222
O1 0.1271 0.6197 0.7815
O2 0.1822 0.6140 0.3945
O3 0.3388 0.0315 0.1150
O4 0.4047 0.0174 0.6370
O5 0.4305 0.2425 0.1707
O6 0.4331 0.1730 0.9230

Entry 5:
# CuSbPO2 | Alexandria via LeMat-Bulk | PBEsol | relaxed
# size of the total moment = 0.000 μB/f.u.
# formation energy from raw total energies = 0.0188 eV/atom
data_CuSbPO2
_cell_length_a 3.8161
_cell_length_b 3.8161
_cell_length_c 4.5016
_cell_angle_alpha 90.00
_cell_angle_beta 90.00
_cell_angle_gamma 90.00
_space_group_name_H-M_alt 'P 4/m m m'
_space_group_IT_number 123
_space_group_name_Hall '-P 4 2'
loop_
_atom_site_label
_atom_site_fract_x
_atom_site_fract_y
_atom_site_fract_z
Cu1 0.0000 0.0000 0.0000
Sb1 0.5000 0.5000 0.5000
P1 0.0000 0.0000 0.5000
O1 0.0000 0.5000 0.0000

Entry 6:
# CuSbP2O8 | Alexandria via LeMat-Bulk | PBEsol | relaxed
# size of the total moment = 0.668 μB/f.u.
# formation energy from raw total energies = -1.6578 eV/atom
data_CuSbP2O8
_cell_length_a 4.9005
_cell_length_b 6.1191
_cell_length_c 9.9166
_cell_angle_alpha 90.00
_cell_angle_beta 94.49
_cell_angle_gamma 90.00
_space_group_name_H-M_alt 'P 1 21/m 1'
_space_group_IT_number 11
loop_
_space_group_symop_operation_xyz
'x,y,z'
'-x,-y,-z'
'-x,y+1/2,-z'
'x,-y+1/2,z'
loop_
_atom_site_label
_atom_site_fract_x
_atom_site_fract_y
_atom_site_fract_z
Cu1 0.1304 0.2500 0.2080
Sb1 0.4319 0.2500 0.7108
P1 0.1044 0.7500 0.0956
P2 0.3729 0.7500 0.5920
O1 0.1279 0.7500 0.9451
O2 0.1994 0.2500 0.8746
O3 0.2373 0.5469 0.6571
O4 0.2715 0.5570 0.1712
O5 0.2912 0.7500 0.4371
O6 0.3172 0.2500 0.3847

Entry 7:
# V3Cu2SbP6O24 | Alexandria via LeMat-Bulk | PBEsol | relaxed
# size of the total moment = 3.951 μB/f.u.
# formation energy from raw total energies = -1.9772 eV/atom
data_V3Cu2SbP6O24
_cell_length_a 8.5376
_cell_length_b 8.5376
_cell_length_c 20.8453
_cell_angle_alpha 90.00
_cell_angle_beta 90.00
_cell_angle_gamma 120.00
_space_group_name_H-M_alt 'R 3'
_space_group_IT_number 146
_space_group_name_Hall 'R 3'
loop_
_atom_site_label
_atom_site_fract_x
_atom_site_fract_y
_atom_site_fract_z
V1 0.0000 0.0000 0.0000
V2 0.0000 0.0000 0.2176
V3 0.0000 0.0000 0.7187
Cu1 0.0000 0.0000 0.3528
Cu2 0.0000 0.0000 0.8596
Sb1 0.0000 0.0000 0.4997
P1 0.0015 0.2941 0.6103
P2 0.0479 0.6707 0.7755
O1 0.0011 0.8120 0.0482
O2 0.0074 0.2022 0.5462
O3 0.0194 0.8350 0.7792
O4 0.0208 0.1852 0.2784
O5 0.1440 0.6674 0.8365
O6 0.1473 0.4776 0.3353
O7 0.1710 0.4830 0.6059
O8 0.1712 0.6915 0.1031

Entry 8:
# ScCuPO2 | Alexandria via LeMat-Bulk | PBEsol | relaxed
# size of the total moment = 0.001 μB/f.u.
# formation energy from raw total energies = -0.6372 eV/atom
data_ScCuPO2
_cell_length_a 3.7736
_cell_length_b 3.7736
_cell_length_c 4.4193
_cell_angle_alpha 90.00
_cell_angle_beta 90.00
_cell_angle_gamma 90.00
_space_group_name_H-M_alt 'P 4/m m m'
_space_group_IT_number 123
_space_group_name_Hall '-P 4 2'
loop_
_atom_site_label
_atom_site_fract_x
_atom_site_fract_y
_atom_site_fract_z
Sc1 0.0000 0.0000 0.0000
Cu1 0.5000 0.5000 0.5000
P1 0.5000 0.5000 0.0000
O1 0.0000 0.5000 0.5000